Record 1
# NaCaV, optimized geometry, DFT PBE
# Uncorrected energy, eV per atom: -3.580
# Energy above the most stable polymorph in this dataset, eV per atom: 0.292
# Formation enthalpy at 0 K, eV/atom: 0.566
data_NaCaV
_chemical_formula_sum 'Na4 Ca4 V4'
_space_group_name_H-M_alt 'C 1 2/m 1'
_space_group_IT_number 12
_space_group_name_Hall '-C 2y'
_cell_length_a 11.053
_cell_length_b 5.387
_cell_length_c 7.844
_cell_angle_alpha 90.00
_cell_angle_beta 133.45
_cell_angle_gamma 90.00
loop_
_atom_site_label
_atom_site_type_symbol
_atom_site_fract_x
_atom_site_fract_y
_atom_site_fract_z
_atom_site_occupancy
Na1 Na 0.162 0.000 0.259 1
Ca1 Ca 0.056 0.500 0.794 1
V1 V 0.114 0.000 0.612 1

***

Record 2
# TaMn2Fe, optimized geometry, DFT PBE
# Uncorrected energy, eV per atom: -9.628
# Formation enthalpy at 0 K, eV/atom: 0.036
data_TaMn2Fe
_chemical_formula_sum 'Ta4 Mn8 Fe4'
_space_group_name_H-M_alt 'P n m a'
_space_group_IT_number 62
_space_group_name_Hall '-P 2ac 2n'
_cell_length_a 6.018
_cell_length_b 3.877
_cell_length_c 8.734
_cell_angle_alpha 90.00
_cell_angle_beta 90.00
_cell_angle_gamma 90.00
loop_
_atom_site_label
_atom_site_type_symbol
_atom_site_fract_x
_atom_site_fract_y
_atom_site_fract_z
_atom_site_occupancy
Ta1 Ta 0.241 0.250 0.175 1
Mn1 Mn 0.048 0.750 0.370 1
Mn2 Mn 0.214 0.250 0.462 1
Fe1 Fe 0.044 0.250 0.890 1

***

Record 3
# ErI, optimized geometry, DFT PBE
# Uncorrected energy, eV per atom: -3.891
data_ErI
_chemical_formula_sum 'Er2 I2'
_space_group_name_H-M_alt 'P 1 21/m 1'
_space_group_IT_number 11
_space_group_name_Hall '-P 2yb'
_cell_length_a 3.868
_cell_length_b 3.868
_cell_length_c 9.512
_cell_angle_alpha 90.00
_cell_angle_beta 90.06
_cell_angle_gamma 90.00
loop_
_atom_site_label
_atom_site_type_symbol
_atom_site_fract_x
_atom_site_fract_y
_atom_site_fract_z
_atom_site_occupancy
Er1 Er 0.250 0.250 0.117 1
I1 I 0.249 0.250 0.702 1

***

Record 4
# YMg2InGa, optimized geometry, DFT PBE
# Uncorrected energy, eV per atom: -3.291
# Formation enthalpy at 0 K, eV/atom: -0.207
data_YMg2InGa
_chemical_formula_sum 'Y4 Mg8 In4 Ga4'
_space_group_name_H-M_alt 'C m c m'
_space_group_IT_number 63
_space_group_name_Hall '-C 2c 2'
_cell_length_a 3.497
_cell_length_b 17.392
_cell_length_c 8.378
_cell_angle_alpha 90.00
_cell_angle_beta 90.00
_cell_angle_gamma 90.00
loop_
_atom_site_label
_atom_site_type_symbol
_atom_site_fract_x
_atom_site_fract_y
_atom_site_fract_z
_atom_site_occupancy
Y1 Y 0.000 0.098 0.250 1
Mg1 Mg 0.000 0.326 0.059 1
In1 In 0.000 0.500 0.000 1
Ga1 Ga 0.000 0.259 0.750 1

***

Record 5
# BaSr2Cd2, optimized geometry, DFT PBE
# Uncorrected energy, eV per atom: -1.438
# Energy above the most stable polymorph in this dataset, eV per atom: 0.237
# Formation enthalpy at 0 K, eV/atom: -0.014
data_BaSr2Cd2
_chemical_formula_sum 'Ba2 Sr4 Cd4'
_space_group_name_H-M_alt 'I 4/m m m'
_space_group_IT_number 139
_space_group_name_Hall '-I 4 2'
_cell_length_a 4.996
_cell_length_b 4.996
_cell_length_c 17.545
_cell_angle_alpha 90.00
_cell_angle_beta 90.00
_cell_angle_gamma 90.00
loop_
_atom_site_label
_atom_site_type_symbol
_atom_site_fract_x
_atom_site_fract_y
_atom_site_fract_z
_atom_site_occupancy
Ba1 Ba 0.000 0.000 0.000 1
Sr1 Sr 0.000 0.000 0.378 1
Cd1 Cd 0.000 0.500 0.250 1

***

Record 6
# TlHgRh2, optimized geometry, DFT PBE
# Uncorrected energy, eV per atom: -4.117
# Formation enthalpy at 0 K, eV/atom: 0.226
data_TlHgRh2
_chemical_formula_sum 'Tl2 Hg2 Rh4'
_space_group_name_H-M_alt 'C 1 2/m 1'
_space_group_IT_number 12
_space_group_name_Hall '-C 2y'
_cell_length_a 8.727
_cell_length_b 3.175
_cell_length_c 5.444
_cell_angle_alpha 90.00
_cell_angle_beta 102.43
_cell_angle_gamma 90.00
loop_
_atom_site_label
_atom_site_type_symbol
_atom_site_fract_x
_atom_site_fract_y
_atom_site_fract_z
_atom_site_occupancy
Tl1 Tl 0.000 0.000 0.000 1
Hg1 Hg 0.000 0.500 0.500 1
Rh1 Rh 0.248 0.500 0.252 1

***

Record 7
# Nd8CdCu2, optimized geometry, DFT PBE
# Uncorrected energy, eV per atom: -4.304
# Formation enthalpy at 0 K, eV/atom: -0.008
data_Nd8CdCu2
_chemical_formula_sum 'Nd16 Cd2 Cu4'
_space_group_name_H-M_alt 'C 1 2/m 1'
_space_group_IT_number 12
_space_group_name_Hall '-C 2y'
_cell_length_a 8.870
_cell_length_b 13.941
_cell_length_c 5.601
_cell_angle_alpha 90.00
_cell_angle_beta 106.79
_cell_angle_gamma 90.00
loop_
_atom_site_label
_atom_site_type_symbol
_atom_site_fract_x
_atom_site_fract_y
_atom_site_fract_z
_atom_site_occupancy
Nd1 Nd 0.000 0.243 0.000 1
Nd2 Nd 0.104 0.500 0.806 1
Nd3 Nd 0.201 0.123 0.580 1
Cd1 Cd 0.000 0.000 0.000 1
Cu1 Cu 0.000 0.309 0.500 1

***

Record 8
# NaPmMnN3, optimized geometry, DFT PBE
# Uncorrected energy, eV per atom: -7.055
data_NaPmMnN3
_chemical_formula_sum 'Na4 Pm4 Mn4 N12'
_space_group_name_H-M_alt 'C 1 2/m 1'
_space_group_IT_number 12
_space_group_name_Hall '-C 2y'
_cell_length_a 13.609
_cell_length_b 3.670
_cell_length_c 7.012
_cell_angle_alpha 90.00
_cell_angle_beta 107.07
_cell_angle_gamma 90.00
loop_
_atom_site_label
_atom_site_type_symbol
_atom_site_fract_x
_atom_site_fract_y
_atom_site_fract_z
_atom_site_occupancy
Na1 Na 0.124 0.000 0.079 1
Pm1 Pm 0.165 0.000 0.604 1
Mn1 Mn 0.003 0.500 0.317 1
N1 N 0.012 0.000 0.319 1
N2 N 0.125 0.500 0.825 1
N3 N 0.153 0.500 0.359 1

***

Record 9
# NiSnBi2, optimized geometry, DFT PBE
# Uncorrected energy, eV per atom: -4.266
# Formation enthalpy at 0 K, eV/atom: 0.121
data_NiSnBi2
_chemical_formula_sum 'Ni3 Sn3 Bi6'
_space_group_name_H-M_alt 'R -3 m'
_space_group_IT_number 166
_space_group_name_Hall '-R 3 2"'
_cell_length_a 3.5935
_cell_length_b 3.5935
_cell_length_c 29.5075
_cell_angle_alpha 90.00
_cell_angle_beta 90.00
_cell_angle_gamma 120.00
loop_
_atom_site_label
_atom_site_type_symbol
_atom_site_fract_x
_atom_site_fract_y
_atom_site_fract_z
_atom_site_occupancy
Ni1 Ni 0.0000 0.0000 0.0000 1
Sn1 Sn 0.0000 0.0000 0.5000 1
Bi1 Bi 0.0000 0.0000 0.3902 1

***

Record 10
# AlPd4Pt6, optimized geometry, DFT PBE
# Uncorrected energy, eV per atom: -5.625
# Formation enthalpy at 0 K, eV/atom: -0.101
data_AlPd4Pt6
_chemical_formula_sum 'Al4 Pd16 Pt24'
_space_group_name_H-M_alt 'C m c m'
_space_group_IT_number 63
_space_group_name_Hall '-C 2c 2'
_cell_length_a 4.660
_cell_length_b 7.179
_cell_length_c 20.972
_cell_angle_alpha 90.00
_cell_angle_beta 90.00
_cell_angle_gamma 90.00
loop_
_atom_site_label
_atom_site_type_symbol
_atom_site_fract_x
_atom_site_fract_y
_atom_site_fract_z
_atom_site_occupancy
Al1 Al 0.000 0.246 0.250 1
Pd1 Pd 0.000 0.062 0.627 1
Pd2 Pd 0.000 0.362 0.547 1
Pt1 Pt 0.000 0.000 0.000 1
Pt2 Pt 0.000 0.103 0.750 1
Pt3 Pt 0.000 0.287 0.091 1
Pt4 Pt 0.000 0.439 0.683 1

***

Record 11
# NdTmGaPd, optimized geometry, DFT PBE
# Uncorrected energy, eV per atom: -5.021
# Energy above the most stable polymorph in this dataset, eV per atom: 0.044
# Formation enthalpy at 0 K, eV/atom: -0.657
data_NdTmGaPd
_chemical_formula_sum 'Nd4 Tm4 Ga4 Pd4'
_space_group_name_H-M_alt 'F -4 3 m'
_space_group_IT_number 216
_space_group_name_Hall 'F -4 2 3'
_cell_length_a 7.182
_cell_length_b 7.182
_cell_length_c 7.182
_cell_angle_alpha 90.00
_cell_angle_beta 90.00
_cell_angle_gamma 90.00
loop_
_atom_site_label
_atom_site_type_symbol
_atom_site_fract_x
_atom_site_fract_y
_atom_site_fract_z
_atom_site_occupancy
Nd1 Nd 0.000 0.000 0.000 1
Tm1 Tm 0.000 0.000 0.500 1
Ga1 Ga 0.250 0.250 0.750 1
Pd1 Pd 0.250 0.250 0.250 1

***

Record 12
# CrOs2Au, optimized geometry, DFT PBE
# Uncorrected energy, eV per atom: -8.527
# Energy above the most stable polymorph in this dataset, eV per atom: 0.052
# Formation enthalpy at 0 K, eV/atom: 0.313
data_CrOs2Au
_chemical_formula_sum 'Cr1 Os2 Au1'
_space_group_name_H-M_alt 'P m m 2'
_space_group_IT_number 25
_space_group_name_Hall 'P 2 -2'
_cell_length_a 2.789
_cell_length_b 3.839
_cell_length_c 5.582
_cell_angle_alpha 90.00
_cell_angle_beta 90.00
_cell_angle_gamma 90.00
loop_
_atom_site_label
_atom_site_type_symbol
_atom_site_fract_x
_atom_site_fract_y
_atom_site_fract_z
_atom_site_occupancy
Cr1 Cr 0.000 0.000 0.000 1
Os1 Os 0.000 0.000 0.448 1
Os2 Os 0.500 0.500 0.240 1
Au1 Au 0.500 0.500 0.739 1

***

Record 13
# Mg4Tl7Pb, optimized geometry, DFT PBE
# Uncorrected energy, eV per atom: -2.143
# Energy above the most stable polymorph in this dataset, eV per atom: 0.045
# Formation enthalpy at 0 K, eV/atom: 0.078
data_Mg4Tl7Pb
_chemical_formula_sum 'Mg8 Tl14 Pb2'
_space_group_name_H-M_alt 'C 1 2/m 1'
_space_group_IT_number 12
_space_group_name_Hall '-C 2y'
_cell_length_a 15.170
_cell_length_b 5.882
_cell_length_c 9.550
_cell_angle_alpha 90.00
_cell_angle_beta 125.99
_cell_angle_gamma 90.00
loop_
_atom_site_label
_atom_site_type_symbol
_atom_site_fract_x
_atom_site_fract_y
_atom_site_fract_z
_atom_site_occupancy
Mg1 Mg 0.032 0.000 0.200 1
Mg2 Mg 0.197 0.000 0.855 1
Tl1 Tl 0.000 0.000 0.500 1
Tl2 Tl 0.062 0.500 0.902 1
Tl3 Tl 0.210 0.500 0.385 1
Tl4 Tl 0.225 0.000 0.192 1
Pb1 Pb 0.000 0.500 0.500 1

***

Record 14
# NiAg3, optimized geometry, DFT PBE
# Uncorrected energy, eV per atom: -3.381
# Formation enthalpy at 0 K, eV/atom: 0.203
data_NiAg3
_chemical_formula_sum 'Ni2 Ag6'
_space_group_name_H-M_alt 'P m m n'
_space_group_IT_number 59
_cell_length_a 4.662
_cell_length_b 5.631
_cell_length_c 4.930
_cell_angle_alpha 90.00
_cell_angle_beta 90.00
_cell_angle_gamma 90.00
loop_
_space_group_symop_operation_xyz
'x,y,z'
'-x,-y,-z'
'-x+1/2,-y+1/2,z'
'x+1/2,y+1/2,-z'
'x+1/2,-y,-z'
'-x+1/2,y,z'
'-x,y+1/2,-z'
'x,-y+1/2,z'
loop_
_atom_site_label
_atom_site_type_symbol
_atom_site_fract_x
_atom_site_fract_y
_atom_site_fract_z
_atom_site_occupancy
Ni1 Ni 0.250 0.250 0.169 1
Ag1 Ag 0.250 0.000 0.668 1
Ag2 Ag 0.250 0.750 0.155 1

***

Record 15
# Tm2TeAs, optimized geometry, DFT PBE
# Uncorrected energy, eV per atom: -5.581
# Energy above the most stable polymorph in this dataset, eV per atom: 0.056
data_Tm2TeAs
_chemical_formula_sum 'Tm6 Te3 As3'
_space_group_name_H-M_alt 'R 3 m'
_space_group_IT_number 160
_space_group_name_Hall 'R 3 -2"'
_cell_length_a 4.0887
_cell_length_b 4.0887
_cell_length_c 21.6213
_cell_angle_alpha 90.00
_cell_angle_beta 90.00
_cell_angle_gamma 120.00
loop_
_atom_site_label
_atom_site_type_symbol
_atom_site_fract_x
_atom_site_fract_y
_atom_site_fract_z
_atom_site_occupancy
Tm1 Tm 0.0000 0.0000 0.0000 1
Tm2 Tm 0.0000 0.0000 0.1898 1
Te1 Te 0.0000 0.0000 0.7622 1
As1 As 0.0000 0.0000 0.5927 1